A relaxed Ho6Te3As2S crystal. Source: Alexandria via LeMat-Bulk, functional PBE.

Unit cell a=4.1390 b=8.4688 c=9.4443 alpha=105.05 beta=102.66 gamma=90.00
Closest atoms and distances in Å follow each position.
Fractional positions:
Ho1 0.3457 0.9030 0.6914  1 S 2.74, 2 As 2.83
Ho2 0.6735 0.5638 0.3470  3 As 2.83-2.85, 3 Te 3.10-3.11
Ho3 0.6543 0.0970 0.3086  1 S 2.74, 2 As 2.83
Ho4 0.0062 0.2209 0.0123  2 S 2.77, 1 As 2.84
Ho5 0.9938 0.7791 0.9877  2 S 2.77, 1 As 2.84
Ho6 0.3265 0.4362 0.6530  3 As 2.83-2.85, 3 Te 3.10-3.11
Te1 0.5000 0.5000 0.0000  6 Ho 3.10-3.17
Te2 0.8319 0.1660 0.6638  6 Ho 3.10-3.17
Te3 0.1681 0.8340 0.3362  6 Ho 3.10-3.17
As1 0.8340 0.6688 0.6680  6 Ho 2.83-2.85
As2 0.1660 0.3312 0.3320  6 Ho 2.83-2.85
S1 0.5000 0.0000 0.0000  6 Ho 2.74-2.77

Calculated values
The value obtained for the theoretical density is 8.3 g/cm3. The value obtained for the formation energy from raw total energies is -1.53 eV/atom. As for the crystal system: monoclinic. The calculation puts the size of the total moment at 0.00 μB/f.u.


A relaxed K8PtAu2O crystal. Source: Alexandria via LeMat-Bulk, functional PBE.

Unit cell a=7.6168 b=7.4940 c=8.7809 alpha=90.01 beta=90.00 gamma=87.43
Closest atoms and distances in Å follow each position.
Fractional positions:
K1 0.1505 0.7933 0.2159  1 O 2.67
K2 0.7303 0.8066 0.0001  1 O 2.57
K3 0.8496 0.2068 0.2160  1 O 2.67
K4 0.8495 0.2067 0.7841  1 O 2.67
K5 0.2697 0.1934 0.9999  1 O 2.57
K6 0.1504 0.7932 0.7840  1 O 2.67
K7 0.6715 0.7241 0.5000  1 Pt 3.32, 2 Au 3.62
K8 0.3285 0.2759 0.5000  1 Pt 3.32, 2 Au 3.62
Pt1 0.0000 0.0000 0.5000  6 K 3.13-3.32
Au1 0.5000 0.5000 0.8294  1 Au 3.00, 2 K 3.31
Au2 0.5000 0.5000 0.1706  1 Au 3.00, 2 K 3.31
O1 0.0000 0.0000 0.0000  6 K 2.57-2.67

Calculated values
The value obtained for the theoretical density is 3.0 g/cm3. The value obtained for the formation energy from raw total energies is -0.33 eV/atom. As for the crystal system: monoclinic. The calculation puts the size of the total moment at 0.00 μB/f.u.


A relaxed SrTaFeNi2 crystal. Source: Alexandria via LeMat-Bulk, functional PBE.

Unit cell a=4.6122 b=5.6146 c=4.6122 alpha=90.00 beta=90.00 gamma=90.00
Closest atoms and distances in Å follow each position.
Fractional positions:
Sr1 0.0000 0.5000 0.0000  2 Ta 2.81
Ni1 0.0000 0.0000 0.5000  2 Ta 2.31
Ni2 0.5000 0.0000 0.0000  2 Ta 2.31
Fe1 0.5000 0.5000 0.5000  4 Sr 3.26, 8 Ni 3.63
Ta1 0.0000 0.0000 0.0000  4 Ni 2.31

Calculated values
The value obtained for the theoretical density is 6.1 g/cm3. As for the crystal system: tetragonal. The calculation puts the size of the total moment at 2.98 μB/f.u. The calculation puts the formation energy at 1.5955 eV/atom.


A relaxed LaYBr3 crystal. Source: Alexandria via LeMat-Bulk, functional PBE.

Unit cell a=5.8613 b=5.8613 c=5.8613 alpha=90.00 beta=90.00 gamma=90.00
Closest atoms and distances in Å follow each position.
Fractional positions:
Y1 0.5000 0.5000 0.5000  12 Br 4.14
Br1 0.0000 0.5000 0.0000  2 La 2.93
Br2 0.0000 0.0000 0.5000  2 La 2.93
Br3 0.5000 0.0000 0.0000  2 La 2.93
La1 0.0000 0.0000 0.0000  6 Br 2.93

Calculated values
The value obtained for the theoretical density is 3.9 g/cm3. The value obtained for the formation energy from raw total energies is -0.80 eV/atom. As for the crystal system: cubic. The calculation puts the size of the total moment at 2.17 μB/f.u. The value obtained for the distance to the lowest polymorph of the same formula is 0.590 eV/atom.


A relaxed NaCdBi crystal. Source: Alexandria via LeMat-Bulk, functional PBE.

Unit cell a=5.0518 b=6.5293 c=7.1824 alpha=65.57 beta=69.41 gamma=67.24
Closest atoms and distances in Å follow each position.
Fractional positions:
Bi1 0.3929 0.7720 0.4423  3 Cd 3.04-3.11, 1 Bi 3.11, 2 Na 3.33
Bi2 0.6071 0.2280 0.5577  3 Cd 3.04-3.11, 1 Bi 3.11, 2 Na 3.33
Cd1 0.1105 0.9806 0.7985  1 Cd 2.79, 3 Bi 3.04-3.11
Cd2 0.8895 0.0194 0.2015  1 Cd 2.79, 3 Bi 3.04-3.11
Na1 0.8434 0.5451 0.7680  4 Bi 3.33-3.71, 4 Cd 3.34-3.69
Na2 0.1566 0.4549 0.2320  4 Bi 3.33-3.71, 4 Cd 3.34-3.69

Calculated values
The value obtained for the theoretical density is 5.9 g/cm3. As for the crystal system: monoclinic. The calculation puts the size of the total moment at 0.00 μB/f.u. The calculation puts the formation energy at -0.1153 eV/atom.


A relaxed TbPrI2 crystal. Source: Alexandria via LeMat-Bulk, functional PBE.

Unit cell a=3.8506 b=3.8506 c=10.0292 alpha=78.93 beta=78.93 gamma=60.00
Closest atoms and distances in Å follow each position.
Fractional positions:
Tb1 0.6649 0.6649 0.0052  6 I 3.22-3.29
Pr1 0.5021 0.5021 0.4938  6 I 3.30-3.40
I1 0.0810 0.0810 0.7571  3 Tb 3.29, 3 Pr 3.40
I2 0.2520 0.2520 0.2439  3 Tb 3.22, 3 Pr 3.30

Calculated values
The value obtained for the theoretical density is 7.3 g/cm3. The value obtained for the formation energy from raw total energies is -0.79 eV/atom. As for the crystal system: trigonal. The calculation puts the size of the total moment at 0.00 μB/f.u. The value obtained for the distance to the lowest polymorph of the same formula is 0.000 eV/atom.


A relaxed Sm5Bi2Rh crystal. Source: Alexandria via LeMat-Bulk, functional PBE.

Unit cell a=6.0048 b=5.7851 c=16.4148 alpha=90.00 beta=90.00 gamma=121.26
Closest atoms and distances in Å follow each position.
Fractional positions:
Sm1 0.9281 0.8563 0.8949  1 Rh 2.73
Sm2 0.9281 0.8563 0.6051  1 Rh 2.73
Sm3 0.4098 0.8197 0.3706  1 Rh 2.82
Sm4 0.4098 0.8197 0.1294  1 Rh 2.82
Sm5 0.7466 0.4933 0.2500  2 Rh 3.03, 2 Bi 3.16
Sm6 0.2534 0.5067 0.7500  2 Rh 3.03, 2 Bi 3.16
Sm7 0.5902 0.1803 0.6294  1 Rh 2.82
Sm8 0.5902 0.1803 0.8706  1 Rh 2.82
Sm9 0.0719 0.1437 0.1051  1 Rh 2.73
Sm10 0.0719 0.1437 0.3949  1 Rh 2.73
Bi1 0.7336 0.4672 0.4423  7 Sm 3.16-3.49
Bi2 0.7336 0.4672 0.0577  7 Sm 3.16-3.49
Bi3 0.2664 0.5328 0.5577  7 Sm 3.16-3.49
Bi4 0.2664 0.5328 0.9423  7 Sm 3.16-3.49
Rh1 0.7928 0.5855 0.7500  6 Sm 2.73-3.03
Rh2 0.2072 0.4145 0.2500  6 Sm 2.73-3.03

Calculated values
The value obtained for the theoretical density is 8.7 g/cm3. As for the crystal system: orthorhombic. The calculation puts the size of the total moment at 0.00 μB/f.u. The calculation puts the formation energy at -0.4315 eV/atom.


A relaxed TbPrNd6Y2 crystal. Source: Alexandria via LeMat-Bulk, functional PBE.

Unit cell a=9.7309 b=9.0055 c=9.0055 alpha=117.18 beta=93.75 gamma=93.75
Closest atoms and distances in Å follow each position.
Fractional positions:
Tb1 0.2500 0.9678 0.0322  4 Y 3.43-3.47, 6 Nd 3.57-3.82
Tb2 0.7500 0.0322 0.9678  4 Y 3.43-3.47, 6 Nd 3.57-3.82
Pr1 0.2500 0.4067 0.5933  6 Nd 3.52-3.60, 2 Y 3.62
Pr2 0.7500 0.5933 0.4067  6 Nd 3.52-3.60, 2 Y 3.62
Nd1 0.0569 0.1106 0.7605  7 Nd 3.47-3.81, 1 Y 3.51, 2 Tb 3.71-3.82
Nd2 0.4431 0.2395 0.8894  7 Nd 3.47-3.81, 1 Y 3.51, 2 Tb 3.71-3.82
Nd3 0.9431 0.8894 0.2395  7 Nd 3.47-3.81, 1 Y 3.51, 2 Tb 3.71-3.82
Nd4 0.5569 0.7605 0.1106  7 Nd 3.47-3.81, 1 Y 3.51, 2 Tb 3.71-3.82
Nd5 0.3159 0.9842 0.4345  2 Nd 3.28-3.65, 1 Pr 3.52, 1 Y 3.53, 1 Tb 3.57
Nd6 0.1841 0.5655 0.0158  2 Nd 3.28-3.65, 1 Pr 3.52, 1 Y 3.53, 1 Tb 3.57
Nd7 0.6841 0.0158 0.5655  2 Nd 3.28-3.65, 1 Pr 3.52, 1 Y 3.53, 1 Tb 3.57
Nd8 0.8159 0.4345 0.9842  2 Nd 3.28-3.65, 1 Pr 3.52, 1 Y 3.53, 1 Tb 3.57
Nd9 0.1189 0.7054 0.4858  3 Nd 3.28-3.47, 3 Y 3.36-3.53, 2 Pr 3.53-3.60
Nd10 0.3811 0.5142 0.2946  3 Nd 3.28-3.47, 3 Y 3.36-3.53, 2 Pr 3.53-3.60
Nd11 0.8811 0.2946 0.5142  3 Nd 3.28-3.47, 3 Y 3.36-3.53, 2 Pr 3.53-3.60
Nd12 0.6189 0.4858 0.7054  3 Nd 3.28-3.47, 3 Y 3.36-3.53, 2 Pr 3.53-3.60
Y1 0.4523 0.8027 0.7080  6 Nd 3.36-3.75, 2 Tb 3.43-3.47, 1 Pr 3.62
Y2 0.0477 0.2920 0.1973  6 Nd 3.36-3.75, 2 Tb 3.43-3.47, 1 Pr 3.62
Y3 0.5477 0.1973 0.2920  6 Nd 3.36-3.75, 2 Tb 3.43-3.47, 1 Pr 3.62
Y4 0.9523 0.7080 0.8027  6 Nd 3.36-3.75, 2 Tb 3.43-3.47, 1 Pr 3.62

Calculated values
The value obtained for the theoretical density is 6.4 g/cm3. As for the crystal system: monoclinic. The calculation puts the size of the total moment at 0.00 μB/f.u. The calculation puts the formation energy at 0.1157 eV/atom.


A relaxed La2TcAuBr crystal. Source: Alexandria via LeMat-Bulk, functional PBE.

Unit cell a=5.5942 b=4.9001 c=5.5942 alpha=90.00 beta=90.00 gamma=90.00
Closest atoms and distances in Å follow each position.
Fractional positions:
Au1 0.0000 0.5000 0.0000  2 Br 2.45
Tc1 0.5000 0.5000 0.5000  8 La 3.72, 4 Au 3.96
Br1 0.0000 0.0000 0.0000  2 Au 2.45
La1 0.0000 0.0000 0.5000  2 Br 2.80
La2 0.5000 0.0000 0.0000  2 Br 2.80

Calculated values
The value obtained for the theoretical density is 7.1 g/cm3. The value obtained for the formation energy from raw total energies is 0.55 eV/atom. As for the crystal system: tetragonal. The calculation puts the size of the total moment at 2.14 μB/f.u.


A relaxed AlInP4 crystal. Source: Alexandria via LeMat-Bulk, functional PBE.

Unit cell a=5.6570 b=5.6570 c=5.6570 alpha=60.00 beta=60.00 gamma=60.00
Closest atoms and distances in Å follow each position.
Fractional positions:
Al1 0.7500 0.7500 0.7500  12 P 3.28, 4 In 3.46
In1 0.0000 0.0000 0.0000  12 P 3.39, 4 Al 3.46
P1 0.8038 0.3987 0.3987  3 P 2.29
P2 0.3987 0.3987 0.8038  3 P 2.29
P3 0.3987 0.8038 0.3987  3 P 2.29
P4 0.3987 0.3987 0.3987  3 P 2.29

Calculated values
The value obtained for the theoretical density is 3.4 g/cm3. As for the crystal system: cubic. The calculation puts the size of the total moment at 0.00 μB/f.u. The calculation puts the formation energy at 0.4726 eV/atom.


A relaxed Pr2TeHO crystal. Source: Alexandria via LeMat-Bulk, functional PBE.

Unit cell a=4.0394 b=4.0394 c=6.9931 alpha=106.79 beta=106.79 gamma=90.00
Closest atoms and distances in Å follow each position.
Fractional positions:
Pr1 0.6494 0.6494 0.2988  2 O 2.39, 2 H 2.39
Pr2 0.3506 0.3506 0.7012  2 O 2.39, 2 H 2.39
Te1 0.0000 0.0000 0.0000  8 Pr 3.43, 4 O 3.78, 4 H 3.78
H1 0.7500 0.2500 0.5000  4 Pr 2.39
O1 0.2500 0.7500 0.5000  4 Pr 2.39

Calculated values
The value obtained for the theoretical density is 6.8 g/cm3. As for the crystal system: tetragonal. The calculation puts the size of the total moment at 0.61 μB/f.u. As for the total DFT energy (no corrections): -6.06 eV per atom.


A relaxed KH7Pd2 crystal. Source: Alexandria via LeMat-Bulk, functional PBE.

Unit cell a=3.6212 b=5.6031 c=5.6031 alpha=124.20 beta=90.00 gamma=90.00
Closest atoms and distances in Å follow each position.
Fractional positions:
K1 0.0000 0.0000 0.0000  8 H 2.58
H1 0.0000 0.6721 0.3279  2 Pd 1.81
H2 0.0000 0.3279 0.6721  2 Pd 1.81
H3 0.5000 0.0154 0.3374  2 Pd 1.71-1.81, 1 H 1.85
H4 0.5000 0.9846 0.6626  2 Pd 1.71-1.81, 1 H 1.85
H5 0.5000 0.3374 0.0154  2 Pd 1.71-1.81, 1 H 1.85
H6 0.5000 0.6626 0.9846  2 Pd 1.71-1.81, 1 H 1.85
H7 0.5000 0.5000 0.5000  2 Pd 1.81
Pd1 0.5000 0.6825 0.3175  7 H 1.71-1.81
Pd2 0.5000 0.3175 0.6825  7 H 1.71-1.81

Calculated values
The value obtained for the theoretical density is 4.6 g/cm3. As for the crystal system: orthorhombic. The calculation puts the size of the total moment at 0.00 μB/f.u. As for the total DFT energy (no corrections): -3.57 eV per atom.